Entry 1:
{"formula": "TbPr2Mg", "functional": "GGA-PBE", "state": "relaxed", "sg": "P4/mmm", "formation_energy_ev_per_atom": -0.034, "polymorph_energy_mev_per_atom": 0, "crystal_system": "tetragonal", "e_tot_ev_per_atom": -3.98, "lattice_angstrom": [[3.758, 0.000, 0.000], [0.000, 3.758, 0.000], [0.000, 0.000, 9.114]], "species": ["Pr", "Pr", "Mg", "Tb"], "fractional_positions": [[0.000, 0.000, 0.770], [0.000, 0.000, 0.230], [0.500, 0.500, 0.000], [0.500, 0.500, 0.500]]}

Entry 2:
{"formula": "Sc3Ga9Ir2", "functional": "GGA-PBE", "state": "relaxed", "sg": "Immm", "formation_energy_ev_per_atom": -0.553, "crystal_system": "orthorhombic", "e_tot_ev_per_atom": -5.12, "lattice_angstrom": [[4.045, 0.000, 1.087], [1.569, 7.410, 2.232], [0.048, 0.023, 7.896]], "species": ["Sc", "Sc", "Sc", "Ga", "Ga", "Ga", "Ga", "Ga", "Ga", "Ga", "Ga", "Ga", "Ir", "Ir"], "fractional_positions": [[0.000, 0.000, 0.000], [0.706, 0.294, 0.294], [0.294, 0.706, 0.706], [0.000, 0.500, 0.500], [0.650, 0.983, 0.718], [0.350, 0.017, 0.282], [0.650, 0.718, 0.983], [0.350, 0.282, 0.017], [0.861, 0.854, 0.424], [0.139, 0.146, 0.576], [0.861, 0.424, 0.854], [0.139, 0.576, 0.146], [0.500, 0.333, 0.667], [0.500, 0.667, 0.333]]}

Entry 3:
{"formula": "La2YEr2", "functional": "GGA-PBE", "state": "relaxed", "sg": "C2/c", "formation_energy_ev_per_atom": 0.025, "polymorph_energy_mev_per_atom": 0, "crystal_system": "monoclinic", "e_tot_ev_per_atom": -5.06, "lattice_angstrom": [[-0.029, -5.885, -2.324], [4.314, 5.404, -5.125], [4.727, -1.843, 4.609]], "species": ["La", "La", "La", "La", "Y", "Y", "Er", "Er", "Er", "Er"], "fractional_positions": [[0.817, 0.797, 0.058], [0.020, 0.203, 0.442], [0.183, 0.203, 0.942], [0.980, 0.797, 0.558], [0.585, 0.000, 0.750], [0.415, 0.000, 0.250], [0.621, 0.402, 0.650], [0.220, 0.598, 0.850], [0.379, 0.598, 0.350], [0.780, 0.402, 0.150]]}

Entry 4:
{"formula": "LaPm2Nd2Sm2", "functional": "GGA-PBE", "state": "relaxed", "sg": "C2/m", "formation_energy_ev_per_atom": 0.017, "crystal_system": "monoclinic", "e_tot_ev_per_atom": -4.75, "lattice_angstrom": [[5.188, 0.000, 0.000], [-2.594, 5.795, 0.289], [0.000, -1.556, 8.070]], "species": ["La", "Pm", "Pm", "Nd", "Nd", "Sm", "Sm"], "fractional_positions": [[0.000, 0.000, 0.000], [0.714, 0.429, 0.144], [0.286, 0.571, 0.856], [0.142, 0.284, 0.430], [0.858, 0.716, 0.570], [0.572, 0.145, 0.714], [0.428, 0.855, 0.286]]}